[1]
A relaxed structure of BPb3F. Source: Alexandria, functional PBE.

Cell lengths 5.060, 5.060, 5.060 Å; angles 90.00, 90.00, 90.00 degrees
Atoms (fractional coordinates):
Pb: 0.000 0.500 0.000
Pb: 0.000 0.000 0.500
Pb: 0.500 0.000 0.000
B: 0.000 0.000 0.000
F: 0.500 0.500 0.500

Space-group type: Pm-3m (221)
Relative energy among the computed polymorphs: 0 meV/atom
V: 129.5 Å³/f.u.
M_tot: 0.0 μB/cell


[2]
A relaxed structure of BPb2F. Source: Alexandria, functional PBE.

Cell lengths 4.686, 4.686, 4.686 Å; angles 60.00, 60.00, 60.00 degrees
Atoms (fractional coordinates):
Pb: 0.250 0.250 0.250
Pb: 0.750 0.750 0.750
B: 0.000 0.000 0.000
F: 0.500 0.500 0.500

Space-group type: Fm-3m (225)
Relative energy among the computed polymorphs: 55 meV/atom
V: 72.7 Å³/f.u.
M_tot: 0.0 μB/cell


[3]
A relaxed structure of B3PbF. Source: Alexandria, functional PBE.

Cell lengths 4.749, 4.749, 4.749 Å; angles 90.00, 90.00, 90.00 degrees
Atoms (fractional coordinates):
Pb: 0.000 0.000 0.000
B: 0.000 0.500 0.000
B: 0.000 0.000 0.500
B: 0.500 0.000 0.000
F: 0.500 0.500 0.500

Space-group type: Pm-3m (221)
Relative energy among the computed polymorphs: 499 meV/atom
V: 107.1 Å³/f.u.
M_tot: 0.0 μB/cell


[4]
A relaxed structure of BPbF5. Source: Alexandria, functional PBE.

Cell lengths 9.651, 9.651, 22.079 Å; angles 20.99, 20.99, 23.97 degrees
Atoms (fractional coordinates):
B: 0.999 0.949 0.991
B: 0.949 0.999 0.491
Pb: 0.536 0.535 0.678
Pb: 0.535 0.536 0.178
F: 0.312 0.010 0.867
F: 0.104 0.097 0.558
F: 0.010 0.312 0.367
F: 0.966 0.974 0.798
F: 0.053 0.772 0.987
F: 0.097 0.104 0.058
F: 0.974 0.966 0.298
F: 0.063 0.630 0.621
F: 0.772 0.053 0.487
F: 0.630 0.063 0.121

Calculated total energy: -5.381 eV per atom
Space-group type: Cc (9)
V: 124.6 Å³/f.u.
M_tot: 0.0 μB/cell


[5]
A relaxed structure of BPb2F. Source: Alexandria, functional PBE.

Cell lengths 5.616, 5.616, 7.255 Å; angles 67.23, 67.23, 90.00 degrees
Atoms (fractional coordinates):
Pb: 0.607 0.125 0.250
Pb: 0.143 0.625 0.250
Pb: 0.375 0.393 0.750
Pb: 0.875 0.857 0.750
B: 0.500 0.500 0.000
B: 0.250 0.750 0.500
F: 0.000 0.000 0.000
F: 0.750 0.250 0.500

Space-group type: I-42d (122)
Relative energy among the computed polymorphs: 0 meV/atom
V: 95.7 Å³/f.u.
M_tot: 0.0 μB/cell


[6]
A relaxed structure of B3PbF12. Source: Alexandria, functional PBE.

Cell lengths 8.236, 8.236, 9.453 Å; angles 64.17, 64.17, 60.00 degrees
Atoms (fractional coordinates):
B: 0.689 0.347 0.999
B: 0.189 0.465 0.499
B: 0.847 0.189 0.499
B: 0.347 0.965 0.999
B: 0.965 0.689 0.999
B: 0.465 0.847 0.499
Pb: 0.059 0.059 0.823
Pb: 0.559 0.559 0.323
F: 0.139 0.078 0.036
F: 0.214 0.281 0.628
F: 0.953 0.008 0.481
F: 0.840 0.390 0.853
F: 0.340 0.418 0.353
F: 0.453 0.058 0.981
F: 0.714 0.376 0.128
F: 0.008 0.558 0.481
F: 0.639 0.247 0.536
F: 0.876 0.214 0.628
F: 0.890 0.340 0.353
F: 0.247 0.578 0.536
F: 0.058 0.508 0.981
F: 0.747 0.139 0.036
F: 0.390 0.918 0.853
F: 0.376 0.781 0.128
F: 0.781 0.714 0.128
F: 0.508 0.453 0.981
F: 0.578 0.639 0.536
F: 0.918 0.840 0.853
F: 0.418 0.890 0.353
F: 0.078 0.747 0.036
F: 0.281 0.876 0.628
F: 0.558 0.953 0.481

Calculated total energy: -5.476 eV per atom
Space-group type: R3c (161)
V: 240.0 Å³/f.u.
M_tot: 0.0 μB/cell